# 1
Compound: Tc2SeBr
Source: the Alexandria database
Functional: PBE
Structure: optimized geometry

**Calculated volume**: 79 Å³ per cell
**VASP energy**: -6.364 eV/atom
**Density of states at the Fermi level**: 3.4 states/eV/cell
**Energy relative to the elements, uncorrected**: 0.108 eV/atom

a b c (Å): 2.990 2.990 8.790
angles (deg): 90.00 90.00 90.00
Space group P4mm (No. 99)
Asymmetric unit:
Tc 0.000 0.000 0.000 x1
Tc 0.500 0.500 0.199 x1
Se 0.500 0.500 0.824 x1
Br 0.000 0.000 0.396 x1

# 2
Compound: TcSe4Br
Source: the Alexandria database
Functional: PBE
Structure: optimized geometry

**Calculated volume**: 686 Å³ per cell
**VASP energy**: -4.545 eV/atom
**Density of states at the Fermi level**: 1.4 states/eV/cell
**Energy relative to the elements, uncorrected**: -0.216 eV/atom

a b c (Å): 8.259 13.473 6.755
angles (deg): 90.00 114.04 90.00
Space group C2/c (No. 15)
Asymmetric unit:
Tc 0.000 0.000 0.250 x4
Se 0.058 0.143 0.031 x8
Se 0.225 0.069 0.612 x8
Br 0.000 0.404 0.750 x4

# 3
Compound: TcSeBr
Source: the Alexandria database
Functional: PBE
Structure: optimized geometry

**Calculated volume**: 72 Å³ per cell
**VASP energy**: -5.318 eV/atom
**Density of states at the Fermi level**: 2.4 states/eV/cell
**Energy relative to the elements, uncorrected**: -0.143 eV/atom

a b c (Å): 3.3255 3.3255 7.5481
angles (deg): 90.00 90.00 120.00
Space group P3m1 (No. 156)
Asymmetric unit:
Tc 0.0000 0.0000 0.0000 x1
Se 0.3333 0.6667 0.7920 x1
Br 0.6667 0.3333 0.2543 x1

# 4
Compound: TcSeBr2
Source: the Alexandria database
Functional: PBE
Structure: optimized geometry

**Calculated volume**: 184 Å³ per cell
**VASP energy**: -3.291 eV/atom
**Density of states at the Fermi level**: 5.9 states/eV/cell
**Energy relative to the elements, uncorrected**: 1.008 eV/atom

a b c (Å): 7.372 7.395 3.374
angles (deg): 90.00 90.00 90.00
Space group Cmmm (No. 65)
Asymmetric unit:
Tc 0.000 0.000 0.000 x2
Se 0.000 0.500 0.000 x2
Br 0.250 0.250 0.500 x4

# 5
Compound: TcSe2Br
Source: the Alexandria database
Functional: PBE
Structure: optimized geometry

**Calculated volume**: 76 Å³ per cell
**VASP energy**: -3.894 eV/atom
**Density of states at the Fermi level**: 3.1 states/eV/cell
**Energy relative to the elements, uncorrected**: 0.858 eV/atom

a b c (Å): 4.925 4.925 3.137
angles (deg): 90.00 90.00 90.00
Space group P4/mmm (No. 123)
Asymmetric unit:
Tc 0.000 0.000 0.000 x1
Se 0.000 0.500 0.500 x2
Br 0.500 0.500 0.000 x1

# 6
Compound: Tc2SeBr
Source: the Alexandria database
Functional: PBE
Structure: optimized geometry

**Calculated volume**: 162 Å³ per cell
**VASP energy**: -6.166 eV/atom
**Density of states at the Fermi level**: 7.1 states/eV/cell
**Energy relative to the elements, uncorrected**: 0.307 eV/atom

a b c (Å): 3.008 3.181 16.935
angles (deg): 90.00 90.00 90.00
Space group Imm2 (No. 44)
Asymmetric unit:
Tc 0.000 0.000 0.000 x2
Tc 0.000 0.500 0.374 x2
Se 0.000 0.000 0.577 x2
Br 0.000 0.500 0.787 x2

# 7
Compound: TcSe2Br
Source: the Alexandria database
Functional: PBE
Structure: optimized geometry

**Calculated volume**: 96 Å³ per cell
**VASP energy**: -4.031 eV/atom
**Density of states at the Fermi level**: 2.3 states/eV/cell
**Energy relative to the elements, uncorrected**: 0.721 eV/atom

a b c (Å): 3.831 3.831 6.509
angles (deg): 90.00 90.00 90.00
Space group P4/mmm (No. 123)
Asymmetric unit:
Tc 0.000 0.000 0.000 x1
Se 0.000 0.500 0.500 x2
Br 0.500 0.500 0.000 x1

# 8
Compound: Tc4SeBr
Source: the Alexandria database
Functional: PBE
Structure: optimized geometry

**Calculated volume**: 411 Å³ per cell
**VASP energy**: -6.702 eV/atom
**Density of states at the Fermi level**: 26.4 states/eV/cell
**Energy relative to the elements, uncorrected**: 1.069 eV/atom

a b c (Å): 7.434 7.434 7.434
angles (deg): 90.00 90.00 90.00
Space group F-43m (No. 216)
Asymmetric unit:
Tc 0.124 0.124 0.124 x16
Se 0.250 0.250 0.750 x4
Br 0.000 0.000 0.500 x4

# 9
Compound: TcSeBr2
Source: the Alexandria database
Functional: PBE
Structure: optimized geometry

**Calculated volume**: 208 Å³ per cell
**VASP energy**: -4.359 eV/atom
**Density of states at the Fermi level**: 5.0 states/eV/cell
**Energy relative to the elements, uncorrected**: -0.060 eV/atom

a b c (Å): 6.469 3.731 8.603
angles (deg): 90.00 90.67 90.00
Space group Cm (No. 8)
Asymmetric unit:
Tc 0.000 0.000 0.000 x2
Se 0.165 0.500 0.865 x2
Br 0.158 0.500 0.581 x2
Br 0.336 0.000 0.194 x2

# 10
Compound: TiTcSeBr2
Source: the Alexandria database
Functional: PBE
Structure: optimized geometry

**Calculated volume**: 129 Å³ per cell
**VASP energy**: -4.708 eV/atom
**Density of states at the Fermi level**: 6.1 states/eV/cell
**Energy relative to the elements, uncorrected**: 0.310 eV/atom

a b c (Å): 5.067 5.067 5.028
angles (deg): 90.00 90.00 90.00
Space group P4/mmm (No. 123)
Asymmetric unit:
Ti 0.000 0.000 0.000 x1
Tc 0.500 0.500 0.500 x1
Se 0.000 0.000 0.500 x1
Br 0.000 0.500 0.000 x2

# 11
Compound: TiTcSeBr2
Source: the Alexandria database
Functional: PBE
Structure: optimized geometry

**Calculated volume**: 126 Å³ per cell
**VASP energy**: -4.436 eV/atom
**Density of states at the Fermi level**: 9.6 states/eV/cell
**Energy relative to the elements, uncorrected**: 0.582 eV/atom

a b c (Å): 5.157 5.157 4.741
angles (deg): 90.00 90.00 90.00
Space group P4/mmm (No. 123)
Asymmetric unit:
Ti 0.000 0.000 0.000 x1
Tc 0.500 0.500 0.500 x1
Se 0.500 0.500 0.000 x1
Br 0.000 0.500 0.500 x2

# 12
Compound: TiTcSe2Br
Source: the Alexandria database
Functional: PBE
Structure: optimized geometry

**Calculated volume**: 124 Å³ per cell
**VASP energy**: -5.088 eV/atom
**Density of states at the Fermi level**: 3.9 states/eV/cell
**Energy relative to the elements, uncorrected**: 0.292 eV/atom

a b c (Å): 4.980 4.980 5.011
angles (deg): 90.00 90.00 90.00
Space group P4/mmm (No. 123)
Asymmetric unit:
Ti 0.000 0.000 0.000 x1
Tc 0.500 0.500 0.500 x1
Se 0.000 0.500 0.000 x2
Br 0.000 0.000 0.500 x1

# 13
Compound: TlTcSe2Br
Source: the Alexandria database
Functional: PBE
Structure: optimized geometry

**Calculated volume**: 132 Å³ per cell
**VASP energy**: -4.363 eV/atom
**Density of states at the Fermi level**: 3.4 states/eV/cell
**Energy relative to the elements, uncorrected**: -0.088 eV/atom

a b c (Å): 4.859 4.859 5.592
angles (deg): 90.00 90.00 90.00
Space group P4/mmm (No. 123)
Asymmetric unit:
Tl 0.000 0.000 0.000 x1
Tc 0.500 0.500 0.500 x1
Se 0.000 0.500 0.500 x2
Br 0.500 0.500 0.000 x1

# 14
Compound: VTcSeBr2
Source: the Alexandria database
Functional: PBE
Structure: optimized geometry

**Calculated volume**: 126 Å³ per cell
**VASP energy**: -4.644 eV/atom
**Density of states at the Fermi level**: 4.6 states/eV/cell
**Energy relative to the elements, uncorrected**: 0.619 eV/atom

a b c (Å): 5.075 5.075 4.879
angles (deg): 90.00 90.00 90.00
Space group P4/mmm (No. 123)
Asymmetric unit:
V 0.000 0.000 0.000 x1
Tc 0.500 0.500 0.500 x1
Se 0.000 0.000 0.500 x1
Br 0.000 0.500 0.000 x2

# 15
Compound: VTcSeBr2
Source: the Alexandria database
Functional: PBE
Structure: optimized geometry

**Calculated volume**: 128 Å³ per cell
**VASP energy**: -4.651 eV/atom
**Density of states at the Fermi level**: 11.1 states/eV/cell
**Energy relative to the elements, uncorrected**: 0.612 eV/atom

a b c (Å): 5.232 5.232 4.690
angles (deg): 90.00 90.00 90.00
Space group P4/mmm (No. 123)
Asymmetric unit:
V 0.000 0.000 0.000 x1
Tc 0.500 0.500 0.500 x1
Se 0.500 0.500 0.000 x1
Br 0.000 0.500 0.500 x2